No. 1
The following is a DFT calculation (meta-GGA SCAN) of a PBEsol-optimized structure of Li2AgMoF.

Crystal system: tetragonal
Formation energy without anion corrections: 0.516 eV per atom

Structure (CIF):
```
data_Li2AgMoF
_chemical_formula_sum 'Li2 Ag1 Mo1 F1'
_space_group_name_H-M_alt 'P 4/m m m'
_space_group_IT_number 123
_space_group_name_Hall '-P 4 2'
_cell_length_a 4.685
_cell_length_b 4.685
_cell_length_c 5.208
_cell_angle_alpha 90.00
_cell_angle_beta 90.00
_cell_angle_gamma 90.00
loop_
_atom_site_label
_atom_site_fract_x
_atom_site_fract_y
_atom_site_fract_z
Li1 0.000 0.500 0.000
Ag1 0.000 0.000 0.000
Mo1 0.000 0.000 0.500
F1 0.500 0.500 0.500
```


No. 2
The following is a DFT calculation (meta-GGA SCAN) of a PBEsol-optimized structure of LiScAgF2.

Crystal system: tetragonal
Formation energy without anion corrections: -0.512 eV per atom

Structure (CIF):
```
data_LiScAgF2
_chemical_formula_sum 'Li1 Sc1 Ag1 F2'
_space_group_name_H-M_alt 'P 4/m m m'
_space_group_IT_number 123
_space_group_name_Hall '-P 4 2'
_cell_length_a 4.428
_cell_length_b 4.428
_cell_length_c 5.252
_cell_angle_alpha 90.00
_cell_angle_beta 90.00
_cell_angle_gamma 90.00
loop_
_atom_site_label
_atom_site_fract_x
_atom_site_fract_y
_atom_site_fract_z
Li1 0.000 0.000 0.000
Sc1 0.500 0.500 0.000
Ag1 0.500 0.500 0.500
F1 0.000 0.500 0.500
```


No. 3
The following is a DFT calculation (meta-GGA SCAN) of a PBEsol-optimized structure of MgAgF3.

Crystal system: cubic
Formation energy without anion corrections: -2.713 eV per atom

Structure (CIF):
```
data_MgAgF3
_chemical_formula_sum 'Mg1 Ag1 F3'
_space_group_name_H-M_alt 'P m -3 m'
_space_group_IT_number 221
_space_group_name_Hall '-P 4 2 3'
_cell_length_a 3.912
_cell_length_b 3.912
_cell_length_c 3.912
_cell_angle_alpha 90.00
_cell_angle_beta 90.00
_cell_angle_gamma 90.00
loop_
_atom_site_label
_atom_site_fract_x
_atom_site_fract_y
_atom_site_fract_z
Mg1 0.000 0.000 0.000
Ag1 0.500 0.500 0.500
F1 0.000 0.000 0.500
```


No. 4
The following is a DFT calculation (meta-GGA SCAN) of a PBEsol-optimized structure of MgAgF3.

Crystal system: trigonal
Formation energy without anion corrections: -2.729 eV per atom

Structure (CIF):
```
data_MgAgF3
_chemical_formula_sum 'Mg6 Ag6 F18'
_space_group_name_H-M_alt 'R -3 c'
_space_group_IT_number 167
_space_group_name_Hall '-R 3 2"c'
_cell_length_a 5.5188
_cell_length_b 5.5188
_cell_length_c 13.5443
_cell_angle_alpha 90.00
_cell_angle_beta 90.00
_cell_angle_gamma 120.00
loop_
_atom_site_label
_atom_site_fract_x
_atom_site_fract_y
_atom_site_fract_z
Mg1 0.0000 0.0000 0.0000
Ag1 0.0000 0.0000 0.2500
F1 0.0000 0.4304 0.2500
```


No. 5
The following is a DFT calculation (meta-GGA SCAN) of a PBEsol-optimized structure of MgAgOF2.

Crystal system: tetragonal
Formation energy without anion corrections: -1.126 eV per atom

Structure (CIF):
```
data_MgAgOF2
_chemical_formula_sum 'Mg1 Ag1 O1 F2'
_space_group_name_H-M_alt 'P 4/m m m'
_space_group_IT_number 123
_space_group_name_Hall '-P 4 2'
_cell_length_a 4.193
_cell_length_b 4.193
_cell_length_c 4.088
_cell_angle_alpha 90.00
_cell_angle_beta 90.00
_cell_angle_gamma 90.00
loop_
_atom_site_label
_atom_site_fract_x
_atom_site_fract_y
_atom_site_fract_z
Mg1 0.000 0.000 0.000
Ag1 0.500 0.500 0.500
O1 0.500 0.500 0.000
F1 0.000 0.500 0.500
```


No. 6
The following is a DFT calculation (meta-GGA SCAN) of a PBEsol-optimized structure of MgAg2SbF.

Crystal system: tetragonal
Formation energy without anion corrections: -0.258 eV per atom

Structure (CIF):
```
data_MgAg2SbF
_chemical_formula_sum 'Mg1 Ag2 Sb1 F1'
_space_group_name_H-M_alt 'P 4/m m m'
_space_group_IT_number 123
_space_group_name_Hall '-P 4 2'
_cell_length_a 5.228
_cell_length_b 5.228
_cell_length_c 4.268
_cell_angle_alpha 90.00
_cell_angle_beta 90.00
_cell_angle_gamma 90.00
loop_
_atom_site_label
_atom_site_fract_x
_atom_site_fract_y
_atom_site_fract_z
Mg1 0.000 0.000 0.000
Ag1 0.000 0.500 0.500
Sb1 0.500 0.500 0.500
F1 0.500 0.500 0.000
```


No. 7
The following is a DFT calculation (meta-GGA SCAN) of a PBEsol-optimized structure of MnAgOF2.

Crystal system: tetragonal
Formation energy without anion corrections: -0.848 eV per atom

Structure (CIF):
```
data_MnAgOF2
_chemical_formula_sum 'Mn1 Ag1 O1 F2'
_space_group_name_H-M_alt 'P 4/m m m'
_space_group_IT_number 123
_space_group_name_Hall '-P 4 2'
_cell_length_a 4.182
_cell_length_b 4.182
_cell_length_c 4.072
_cell_angle_alpha 90.00
_cell_angle_beta 90.00
_cell_angle_gamma 90.00
loop_
_atom_site_label
_atom_site_fract_x
_atom_site_fract_y
_atom_site_fract_z
Mn1 0.000 0.000 0.000
Ag1 0.500 0.500 0.500
O1 0.500 0.500 0.000
F1 0.000 0.500 0.500
```


No. 8
The following is a DFT calculation (meta-GGA SCAN) of a PBEsol-optimized structure of Ag3MoF.

Crystal system: cubic
Formation energy without anion corrections: 0.561 eV per atom

Structure (CIF):
```
data_Ag3MoF
_chemical_formula_sum 'Ag3 Mo1 F1'
_space_group_name_H-M_alt 'P m -3 m'
_space_group_IT_number 221
_space_group_name_Hall '-P 4 2 3'
_cell_length_a 4.470
_cell_length_b 4.470
_cell_length_c 4.470
_cell_angle_alpha 90.00
_cell_angle_beta 90.00
_cell_angle_gamma 90.00
loop_
_atom_site_label
_atom_site_fract_x
_atom_site_fract_y
_atom_site_fract_z
Ag1 0.000 0.000 0.500
Mo1 0.500 0.500 0.500
F1 0.000 0.000 0.000
```


No. 9
The following is a DFT calculation (meta-GGA SCAN) of a PBEsol-optimized structure of AgMo3F.

Crystal system: cubic
Formation energy without anion corrections: 0.655 eV per atom

Structure (CIF):
```
data_AgMo3F
_chemical_formula_sum 'Ag1 Mo3 F1'
_space_group_name_H-M_alt 'P m -3 m'
_space_group_IT_number 221
_space_group_name_Hall '-P 4 2 3'
_cell_length_a 4.142
_cell_length_b 4.142
_cell_length_c 4.142
_cell_angle_alpha 90.00
_cell_angle_beta 90.00
_cell_angle_gamma 90.00
loop_
_atom_site_label
_atom_site_fract_x
_atom_site_fract_y
_atom_site_fract_z
Ag1 0.000 0.000 0.000
Mo1 0.000 0.500 0.500
F1 0.500 0.500 0.500
```


No. 10
The following is a DFT calculation (meta-GGA SCAN) of a PBEsol-optimized structure of AgMoN2F.

Crystal system: tetragonal
Formation energy without anion corrections: -0.215 eV per atom

Structure (CIF):
```
data_AgMoN2F
_chemical_formula_sum 'Ag1 Mo1 N2 F1'
_space_group_name_H-M_alt 'P 4/m m m'
_space_group_IT_number 123
_space_group_name_Hall '-P 4 2'
_cell_length_a 3.907
_cell_length_b 3.907
_cell_length_c 4.031
_cell_angle_alpha 90.00
_cell_angle_beta 90.00
_cell_angle_gamma 90.00
loop_
_atom_site_label
_atom_site_fract_x
_atom_site_fract_y
_atom_site_fract_z
Ag1 0.000 0.000 0.000
Mo1 0.500 0.500 0.500
N1 0.000 0.500 0.500
F1 0.500 0.500 0.000
```


No. 11
The following is a DFT calculation (meta-GGA SCAN) of a PBEsol-optimized structure of AgMoO2F.

Crystal system: tetragonal
Formation energy without anion corrections: -1.482 eV per atom

Structure (CIF):
```
data_AgMoO2F
_chemical_formula_sum 'Ag1 Mo1 O2 F1'
_space_group_name_H-M_alt 'P 4/m m m'
_space_group_IT_number 123
_space_group_name_Hall '-P 4 2'
_cell_length_a 3.829
_cell_length_b 3.829
_cell_length_c 4.223
_cell_angle_alpha 90.00
_cell_angle_beta 90.00
_cell_angle_gamma 90.00
loop_
_atom_site_label
_atom_site_fract_x
_atom_site_fract_y
_atom_site_fract_z
Ag1 0.000 0.000 0.000
Mo1 0.500 0.500 0.500
O1 0.000 0.500 0.500
F1 0.500 0.500 0.000
```


No. 12
The following is a DFT calculation (meta-GGA SCAN) of a PBEsol-optimized structure of AgPbN2F.

Crystal system: tetragonal
Formation energy without anion corrections: 0.728 eV per atom

Structure (CIF):
```
data_AgPbN2F
_chemical_formula_sum 'Ag1 Pb1 N2 F1'
_space_group_name_H-M_alt 'P 4/m m m'
_space_group_IT_number 123
_space_group_name_Hall '-P 4 2'
_cell_length_a 3.973
_cell_length_b 3.973
_cell_length_c 4.688
_cell_angle_alpha 90.00
_cell_angle_beta 90.00
_cell_angle_gamma 90.00
loop_
_atom_site_label
_atom_site_fract_x
_atom_site_fract_y
_atom_site_fract_z
Ag1 0.000 0.000 0.000
Pb1 0.500 0.500 0.500
N1 0.000 0.500 0.000
F1 0.000 0.000 0.500
```


No. 13
The following is a DFT calculation (meta-GGA SCAN) of a PBEsol-optimized structure of ReAgNF2.

Crystal system: tetragonal
Formation energy without anion corrections: 0.978 eV per atom

Structure (CIF):
```
data_ReAgNF2
_chemical_formula_sum 'Re1 Ag1 N1 F2'
_space_group_name_H-M_alt 'P 4/m m m'
_space_group_IT_number 123
_space_group_name_Hall '-P 4 2'
_cell_length_a 4.054
_cell_length_b 4.054
_cell_length_c 4.269
_cell_angle_alpha 90.00
_cell_angle_beta 90.00
_cell_angle_gamma 90.00
loop_
_atom_site_label
_atom_site_fract_x
_atom_site_fract_y
_atom_site_fract_z
Re1 0.000 0.000 0.000
Ag1 0.500 0.500 0.500
N1 0.500 0.500 0.000
F1 0.000 0.500 0.500
```


No. 14
The following is a DFT calculation (meta-GGA SCAN) of a PBEsol-optimized structure of AgRuN2F.

Relative energy among the computed polymorphs: 0 meV/atom
Crystal system: tetragonal
Formation energy without anion corrections: 0.292 eV per atom

Structure (CIF):
```
data_AgRuN2F
_chemical_formula_sum 'Ag1 Ru1 N2 F1'
_space_group_name_H-M_alt 'P 4/m m m'
_space_group_IT_number 123
_space_group_name_Hall '-P 4 2'
_cell_length_a 3.760
_cell_length_b 3.760
_cell_length_c 4.245
_cell_angle_alpha 90.00
_cell_angle_beta 90.00
_cell_angle_gamma 90.00
loop_
_atom_site_label
_atom_site_fract_x
_atom_site_fract_y
_atom_site_fract_z
Ag1 0.000 0.000 0.000
Ru1 0.500 0.500 0.500
N1 0.000 0.500 0.500
F1 0.500 0.500 0.000
```